Compound: BaTePS2
Source: Alexandria via LeMat-Bulk
Functional: PBE
Structure: relaxed

Formation energy without anion corrections = -0.550 eV per atom
Relative energy among the computed polymorphs = 0.0 meV/atom
DOS(E_F) = 0.594 states/eV/atom

a b c (Å): 4.957 5.199 4.957
angles (deg): 90.00 90.00 90.00
Atoms (fractional coordinates):
S 0.000 0.000 0.500
P 0.000 0.000 0.000
Ba 0.500 0.500 0.500
S 0.500 0.000 0.000
Te 0.000 0.500 0.000